[1]
Density functional theory data (GGA-PBE) for a relaxed structure of MnCrGe2.

Lattice parameters (Å, degrees): 6.735 6.735 5.539 90.00 90.00 90.00
Element x y z (fractional)
Mn 0.000 0.000 0.000
Mn 0.000 0.500 0.250
Mn 0.500 0.000 0.750
Mn 0.500 0.500 0.500
Cr 0.000 0.000 0.500
Cr 0.000 0.500 0.750
Cr 0.500 0.000 0.250
Cr 0.500 0.500 0.000
Ge 0.245 0.250 0.125
Ge 0.250 0.745 0.375
Ge 0.250 0.755 0.875
Ge 0.255 0.250 0.625
Ge 0.745 0.750 0.625
Ge 0.750 0.245 0.875
Ge 0.750 0.255 0.375
Ge 0.755 0.750 0.125

Calculated values
* formation energy from the elements: 1.4 eV/f.u.
* ρ: 6.7 g/cm³
* relative energy among the computed polymorphs: 218 meV per atom



[2]
Density functional theory data (GGA-PBE) for a relaxed structure of KGaSnAu3.

Lattice parameters (Å, degrees): 7.632 7.632 7.223 90.00 90.00 124.62
Element x y z (fractional)
K 0.230 0.770 0.750
K 0.770 0.230 0.250
Ga 0.085 0.915 0.250
Ga 0.915 0.085 0.750
Sn 0.468 0.532 0.250
Sn 0.532 0.468 0.750
Au 0.207 0.207 0.000
Au 0.207 0.207 0.500
Au 0.270 0.730 0.250
Au 0.730 0.270 0.750
Au 0.793 0.793 0.000
Au 0.793 0.793 0.500

Calculated values
* formation energy from the elements: -1.5 eV/f.u.
* ρ: 7.9 g/cm³



[3]
Density functional theory data (GGA-PBE) for a relaxed structure of Ca6PdPb5.

Lattice parameters (Å, degrees): 9.286 9.286 5.277 106.46 106.46 53.49
Element x y z (fractional)
Ca 0.075 0.607 0.341
Ca 0.219 0.781 0.000
Ca 0.393 0.925 0.659
Ca 0.607 0.075 0.341
Ca 0.781 0.219 0.000
Ca 0.925 0.393 0.659
Pd 0.000 0.000 0.500
Pb 0.178 0.178 0.178
Pb 0.338 0.338 0.838
Pb 0.500 0.500 0.500
Pb 0.662 0.662 0.162
Pb 0.822 0.822 0.822

Calculated values
* formation energy from the elements: -6.4 eV/f.u.
* ρ: 6.6 g/cm³



[4]
Density functional theory data (GGA-PBE) for a relaxed structure of GaSiSeBr2.

Lattice parameters (Å, degrees): 5.088 5.088 5.145 90.00 90.00 90.00
Element x y z (fractional)
Ga 0.000 0.000 0.000
Si 0.500 0.500 0.500
Se 0.000 0.000 0.500
Br 0.000 0.500 0.000
Br 0.500 0.000 0.000

Calculated values
* ρ: 4.2 g/cm³
* relative energy among the computed polymorphs: 397 meV per atom
* E_form (uncorrected): 0.274 eV/atom



[5]
Density functional theory data (GGA-PBE) for a relaxed structure of PmY2Mg6.

Lattice parameters (Å, degrees): 9.094 9.094 3.329 90.00 90.00 120.00
Element x y z (fractional)
Pm 0.000 0.000 0.000
Y 0.333 0.667 0.000
Y 0.667 0.333 0.000
Mg 0.000 0.336 0.500
Mg 0.000 0.664 0.500
Mg 0.336 0.000 0.500
Mg 0.336 0.336 0.500
Mg 0.664 0.000 0.500
Mg 0.664 0.664 0.500

Calculated values
* formation energy from the elements: -0.8 eV/f.u.
* ρ: 3.3 g/cm³



[6]
Density functional theory data (GGA-PBE) for a relaxed structure of Co2NiW.

Lattice parameters (Å, degrees): 6.391 6.391 5.078 90.00 90.00 90.00
Element x y z (fractional)
Co 0.244 0.750 0.125
Co 0.250 0.244 0.875
Co 0.250 0.256 0.375
Co 0.256 0.750 0.625
Co 0.744 0.250 0.625
Co 0.750 0.744 0.375
Co 0.750 0.756 0.875
Co 0.756 0.250 0.125
Ni 0.000 0.000 0.500
Ni 0.000 0.500 0.750
Ni 0.500 0.000 0.250
Ni 0.500 0.500 0.000
W 0.000 0.000 0.000
W 0.000 0.500 0.250
W 0.500 0.000 0.750
W 0.500 0.500 0.500

Calculated values
* formation energy from the elements: 2.1 eV/f.u.
* ρ: 11.5 g/cm³
* relative energy among the computed polymorphs: 575 meV per atom



Across the entries above, VASP energy takes the values -6.6675 -3.2429 -3.5105 -2.7822 -3.1151 -7.7038 eV per atom, respectively.